GaIr2S | PBE | optimized geometry

a = 4.3412 Å, b = 4.3412 Å, c = 4.3412 Å
α = 60.00°, β = 60.00°, γ = 60.00°
Last column: nearest neighbours and their distance in Å.
Sites, in units of the cell vectors:
1 S 0.0000 0.0000 0.0000  8 Ir 2.66
2 Ga 0.5000 0.5000 0.5000  8 Ir 2.66
3 Ir 0.7500 0.7500 0.7500  4 S 2.66, 4 Ga 2.66
4 Ir 0.2500 0.2500 0.2500  4 Ga 2.66, 4 S 2.66

Properties
volume = 57.8 Å³/cell
space group = Fm-3m (225)
crystal system = cubic
energy relative to the elements, uncorrected = 309 meV per atom

---

GaIrS3 | PBE | optimized geometry

a = 4.6965 Å, b = 4.6965 Å, c = 4.6965 Å
α = 90.00°, β = 90.00°, γ = 90.00°
Last column: nearest neighbours and their distance in Å.
Sites, in units of the cell vectors:
1 S 0.5000 0.0000 0.0000  2 Ir 2.35
2 S 0.0000 0.0000 0.5000  2 Ir 2.35
3 Ga 0.5000 0.5000 0.5000  12 S 3.32
4 S 0.0000 0.5000 0.0000  2 Ir 2.35
5 Ir 0.0000 0.0000 0.0000  6 S 2.35

Properties
volume = 103.6 Å³/cell
space group = Pm-3m (221)
crystal system = cubic
energy relative to the elements, uncorrected = 398 meV per atom
energy above the most stable polymorph in this dataset = 863 meV/atom

---

TiGa2IrS | PBE | optimized geometry

a = 4.7709 Å, b = 4.3173 Å, c = 4.7709 Å
α = 90.00°, β = 90.00°, γ = 90.00°
Last column: nearest neighbours and their distance in Å.
Sites, in units of the cell vectors:
1 Ga 0.5000 0.0000 0.0000  2 S 2.39
2 Ti 0.5000 0.5000 0.5000  8 Ga 3.22, 4 Ir 3.37
3 Ir 0.0000 0.5000 0.0000  2 S 2.16
4 Ga 0.0000 0.0000 0.5000  2 S 2.39
5 S 0.0000 0.0000 0.0000  2 Ir 2.16, 4 Ga 2.39

Properties
volume = 98.3 Å³/cell
space group = P4/mmm (123)
crystal system = tetragonal
energy relative to the elements, uncorrected = 644 meV per atom

---

Ga2SbIr2 | PBE | optimized geometry

a = 7.6234 Å, b = 7.6234 Å, c = 2.8973 Å
α = 90.00°, β = 90.00°, γ = 90.00°
Last column: nearest neighbours and their distance in Å.
Sites, in units of the cell vectors:
1 Ir 0.6601 0.8399 0.5000  6 Ga 2.67, 2 Ir 2.90
2 Ga 0.1324 0.3676 0.0000  6 Ir 2.67, 3 Ga 2.85-2.90, 2 Sb 2.98
3 Sb 0.0000 0.0000 0.0000  2 Sb 2.90, 4 Ga 2.98, 8 Ir 3.21
4 Ir 0.1601 0.6601 0.5000  6 Ga 2.67, 2 Ir 2.90
5 Ir 0.8399 0.3399 0.5000  6 Ga 2.67, 2 Ir 2.90
6 Ga 0.8676 0.6324 0.0000  6 Ir 2.67, 3 Ga 2.85-2.90, 2 Sb 2.98
7 Ir 0.3399 0.1601 0.5000  6 Ga 2.67, 2 Ir 2.90
8 Ga 0.3676 0.8676 0.0000  6 Ir 2.67, 3 Ga 2.85-2.90, 2 Sb 2.98
9 Ga 0.6324 0.1324 0.0000  6 Ir 2.67, 3 Ga 2.85-2.90, 2 Sb 2.98
10 Sb 0.5000 0.5000 0.0000  2 Sb 2.90, 4 Ga 2.98, 8 Ir 3.21

Properties
volume = 168.4 Å³/cell
space group = P4/mbm (127)
crystal system = tetragonal
energy relative to the elements, uncorrected = -82 meV per atom
energy above the most stable polymorph in this dataset = 174 meV/atom